Entry 1:
Density functional theory data (PBE) for a relaxed structure of Ce2PrZn3.

The structure in CIF format:
```
data_Ce2PrZn3
_chemical_formula_sum 'Ce2 Pr1 Zn3'
_cell_length_a 3.652
_cell_length_b 3.652
_cell_length_c 10.927
_cell_angle_alpha 90.00
_cell_angle_beta 90.00
_cell_angle_gamma 90.00
_space_group_name_H-M_alt 'P 4/m m m'
_space_group_IT_number 123
_space_group_name_Hall '-P 4 2'
loop_
_atom_site_label
_atom_site_type_symbol
_atom_site_fract_x
_atom_site_fract_y
_atom_site_fract_z
Ce1 Ce 0.000 0.000 0.161
Pr1 Pr 0.000 0.000 0.500
Zn1 Zn 0.500 0.500 0.000
Zn2 Zn 0.500 0.500 0.326
```

energy relative to the elements	-0.21	eV/atom

Entry 2:
Density functional theory data (PBE) for a relaxed structure of SrLa2Cu.

The structure in CIF format:
```
data_SrLa2Cu
_chemical_formula_sum 'Sr3 La6 Cu3'
_cell_length_a 3.9593
_cell_length_b 3.9593
_cell_length_c 32.2356
_cell_angle_alpha 90.00
_cell_angle_beta 90.00
_cell_angle_gamma 120.00
_space_group_name_H-M_alt 'R -3 m'
_space_group_IT_number 166
_space_group_name_Hall '-R 3 2"'
loop_
_atom_site_label
_atom_site_type_symbol
_atom_site_fract_x
_atom_site_fract_y
_atom_site_fract_z
Sr1 Sr 0.0000 0.0000 0.0000
La1 La 0.0000 0.0000 0.2259
Cu1 Cu 0.0000 0.0000 0.5000
```

energy relative to the elements	0.08	eV/atom
relative energy among the computed polymorphs	0.079	eV/atom

Entry 3:
Density functional theory data (PBE) for a relaxed structure of Rb2ScTiI6.

The structure in CIF format:
```
data_Rb2ScTiI6
_chemical_formula_sum 'Rb8 Sc4 Ti4 I24'
_cell_length_a 11.708
_cell_length_b 11.708
_cell_length_c 11.708
_cell_angle_alpha 90.00
_cell_angle_beta 90.00
_cell_angle_gamma 90.00
_space_group_name_H-M_alt 'F m -3 m'
_space_group_IT_number 225
_space_group_name_Hall '-F 4 2 3'
loop_
_atom_site_label
_atom_site_type_symbol
_atom_site_fract_x
_atom_site_fract_y
_atom_site_fract_z
Rb1 Rb 0.250 0.250 0.250
Sc1 Sc 0.000 0.000 0.000
Ti1 Ti 0.000 0.000 0.500
I1 I 0.000 0.000 0.251
```

uncorrected formation energy	-1.04	eV/atom

Entry 4:
Density functional theory data (PBE) for a relaxed structure of Ba2Sb3O10.

The structure in CIF format:
```
data_Ba2Sb3O10
_chemical_formula_sum 'Ba8 Sb12 O40'
_cell_length_a 18.776
_cell_length_b 6.208
_cell_length_c 8.126
_cell_angle_alpha 90.00
_cell_angle_beta 111.52
_cell_angle_gamma 90.00
_space_group_name_H-M_alt 'C 1 2/m 1'
_space_group_IT_number 12
_space_group_name_Hall '-C 2y'
loop_
_atom_site_label
_atom_site_type_symbol
_atom_site_fract_x
_atom_site_fract_y
_atom_site_fract_z
Ba1 Ba 0.114 0.000 0.210
Ba2 Ba 0.212 0.000 0.816
Sb1 Sb 0.000 0.245 0.500
Sb2 Sb 0.079 0.500 0.968
Sb3 Sb 0.176 0.500 0.503
O1 O 0.000 0.293 0.000
O2 O 0.023 0.000 0.675
O3 O 0.023 0.500 0.679
O4 O 0.108 0.252 0.513
O5 O 0.141 0.500 0.246
O6 O 0.146 0.265 0.969
O7 O 0.233 0.500 0.756
O8 O 0.250 0.250 0.500
```

uncorrected formation energy	-1.76	eV/atom

Entry 5:
Density functional theory data (PBE) for a relaxed structure of LiCa2La2.

The structure in CIF format:
```
data_LiCa2La2
_chemical_formula_sum 'Li2 Ca4 La4'
_cell_length_a 3.813
_cell_length_b 3.813
_cell_length_c 24.538
_cell_angle_alpha 90.00
_cell_angle_beta 90.00
_cell_angle_gamma 90.00
_space_group_name_H-M_alt 'I 4/m m m'
_space_group_IT_number 139
_space_group_name_Hall '-I 4 2'
loop_
_atom_site_label
_atom_site_type_symbol
_atom_site_fract_x
_atom_site_fract_y
_atom_site_fract_z
Li1 Li 0.000 0.000 0.000
Ca1 Ca 0.000 0.000 0.415
La1 La 0.000 0.000 0.201
```

energy relative to the elements	0.03	eV/atom
relative energy among the computed polymorphs	0.000	eV/atom

Entry 6:
Density functional theory data (PBE) for a relaxed structure of NpNbGa.

The structure in CIF format:
```
data_NpNbGa
_chemical_formula_sum 'Np6 Nb6 Ga6'
_cell_length_a 3.6943
_cell_length_b 3.6943
_cell_length_c 29.4092
_cell_angle_alpha 90.00
_cell_angle_beta 90.00
_cell_angle_gamma 120.00
_space_group_name_H-M_alt 'R -3 m'
_space_group_IT_number 166
_space_group_name_Hall '-R 3 2"'
loop_
_atom_site_label
_atom_site_type_symbol
_atom_site_fract_x
_atom_site_fract_y
_atom_site_fract_z
Np1 Np 0.0000 0.0000 0.1875
Nb1 Nb 0.0000 0.0000 0.0719
Ga1 Ga 0.0000 0.0000 0.3532
```

energy relative to the elements	0.29	eV/atom
relative energy among the computed polymorphs	0.103	eV/atom

Entry 7:
Density functional theory data (PBE) for a relaxed structure of Y2Ge3Os.

The structure in CIF format:
```
data_Y2Ge3Os
_chemical_formula_sum 'Y4 Ge6 Os2'
_cell_length_a 10.415
_cell_length_b 4.400
_cell_length_c 7.021
_cell_angle_alpha 90.00
_cell_angle_beta 130.12
_cell_angle_gamma 90.00
_space_group_name_H-M_alt 'C 1 m 1'
_space_group_IT_number 8
_space_group_name_Hall 'C -2y'
loop_
_atom_site_label
_atom_site_type_symbol
_atom_site_fract_x
_atom_site_fract_y
_atom_site_fract_z
Y1 Y 0.000 0.000 0.000
Y2 Y 0.114 0.000 0.606
Ge1 Ge 0.242 0.500 0.414
Ge2 Ge 0.373 0.000 0.197
Ge3 Ge 0.444 0.000 0.661
Os1 Os 0.237 0.500 0.044
```

energy relative to the elements	-0.56	eV/atom

Entry 8:
Density functional theory data (PBE) for a relaxed structure of Sr2CdPSe.

The structure in CIF format:
```
data_Sr2CdPSe
_chemical_formula_sum 'Sr2 Cd1 P1 Se1'
_cell_length_a 5.820
_cell_length_b 5.820
_cell_length_c 4.936
_cell_angle_alpha 90.00
_cell_angle_beta 90.00
_cell_angle_gamma 90.00
_space_group_name_H-M_alt 'P 4/m m m'
_space_group_IT_number 123
_space_group_name_Hall '-P 4 2'
loop_
_atom_site_label
_atom_site_type_symbol
_atom_site_fract_x
_atom_site_fract_y
_atom_site_fract_z
Sr1 Sr 0.000 0.500 0.000
Cd1 Cd 0.000 0.000 0.500
P1 P 0.000 0.000 0.000
Se1 Se 0.500 0.500 0.500
```

uncorrected formation energy	-0.82	eV/atom